A plane-wave DFT calculation with PBE-GGA was carried out for an optimized crystal structure of AcTh2Te4.

Output
SG: No. 63
ΔE_f (raw): -27.9 kcal/mol of atoms
electronic total energy: -5.71 eV per atom

Unit cell a=4.3831 b=7.4662 c=15.9602 alpha=90.00 beta=90.00 gamma=107.07
Sites, in units of the cell vectors:
Te 0.9285 0.8571 0.7500
Te 0.2143 0.4285 0.8701
Te 0.2143 0.4285 0.6299
Te 0.5000 0.0000 0.0000
Te 0.0715 0.1429 0.2500
Te 0.7857 0.5715 0.1299
Te 0.5000 0.0000 0.5000
Te 0.7857 0.5715 0.3701
Ac 0.6030 0.2060 0.7500
Ac 0.3970 0.7940 0.2500
Th 0.8534 0.7067 0.9409
Th 0.1466 0.2933 0.0591
Th 0.1466 0.2933 0.4409
Th 0.8534 0.7067 0.5591